First-principles (GGA-PBE) data for a relaxed Cs2URe3O12 crystal, as listed in Alexandria.

The structure in CIF format:
```
data_Cs2URe3O12
_symmetry_space_group_name_H-M 'R -3 m'
_symmetry_Int_Tables_number 166
_symmetry_space_group_name_Hall '-R 3 2"'
_cell_length_a 7.3490
_cell_length_b 7.3490
_cell_length_c 18.9032
_cell_angle_alpha 90.00
_cell_angle_beta 90.00
_cell_angle_gamma 120.00
loop_
_atom_site_label
_atom_site_type_symbol
_atom_site_fract_x
_atom_site_fract_y
_atom_site_fract_z
_atom_site_occupancy
Cs1 Cs 0.0000 0.0000 0.1202 1
U1 U 0.0000 0.0000 0.5000 1
Re1 Re 0.0000 0.5000 0.0000 1
O1 O 0.0624 0.5312 0.1026 1
O2 O 0.0874 0.5437 0.3456 1
```

Output
VASP energy   -8.113 eV per atom
Magnetization   1.90 μB per formula unit